Compound: V2Pt2Rh
Source: Alexandria
Functional: PBE-GGA
Structure: relaxed

Results
Spin magnetization ... 1.0 Bohr magnetons per cell
Energy of formation ... -0.41 eV/atom
Distance to the lowest polymorph of the same formula ... 0.0 meV/atom
E ... -79.43 eV per cell

Cell lengths 7.298, 7.298, 4.857 Å; angles 90.00, 90.00, 145.26 degrees
Positions (direct):
V 0.054 0.946 0.500
V 0.271 0.729 0.640
V 0.729 0.271 0.140
V 0.946 0.054 0.000
Pt 0.338 0.662 0.138
Pt 0.456 0.544 0.680
Pt 0.544 0.456 0.180
Pt 0.662 0.338 0.638
Rh 0.138 0.862 0.991
Rh 0.862 0.138 0.491